The following is a PBE-GGA calculation of an optimized crystal structure of Ac8PIr4, from the Alexandria database.

extended XYZ file:
```
13
Lattice="4.316 0.000 0.933 1.917 10.819 1.582 -0.108 0.265 10.949" Properties=species:S:1:pos:R:3 pbc="T T T"
Ac 1.293 4.515 4.466
Ac 2.737 2.943 8.238
Ac 3.357 8.036 5.368
Ac 4.760 6.552 9.325
Ac 4.222 3.643 1.367
Ac 2.598 10.019 8.881
Ac 1.975 7.111 1.311
Ac 3.467 0.913 4.862
P 4.349 8.923 11.229
Ir 2.300 5.051 10.259
Ir 5.166 8.951 7.448
Ir 0.946 2.024 6.071
Ir 3.767 5.739 3.472
```

For the formation energy, the calculation gives -0.62 eV/atom. Its crystal system is monoclinic. The calculation puts the magnetic moment at 0.00 μB per formula unit. For the volume, the calculation gives 511.0 Å³/cell.